(1)
This record from Alexandria via LeMat-Bulk describes AlFe2PdCl after structural relaxation. The functional is GGA-PBE.

The structure in POSCAR format:
```
AlFe2PdCl
1.0
-1.7239 3.3250 -1.7777
0.9640 -1.7865 -4.2763
-3.6747 -1.9193 -0.0265
Al Fe Pd Cl
1 2 1 1
direct
0.5000 0.5000 0.5000 Al
0.0000 0.0000 0.5000 Fe
0.5000 0.0000 0.0000 Fe
0.0000 0.5000 0.0000 Pd
0.0000 0.0000 0.0000 Cl
```

Values from the calculation:
- Energy above the lowest structure with this stoichiometry: 1 meV per atom

=====

(2)
This record from Alexandria via LeMat-Bulk describes AlFe2PdCl after structural relaxation. The functional is GGA-PBE.

The structure in POSCAR format:
```
AlFe2PdCl
1.0
-3.2297 3.2703 0.0028
-0.0285 -0.0321 4.5719
3.2702 3.2296 0.0430
Al Fe Pd Cl
1 2 1 1
direct
0.0000 0.0000 0.0000 Al
0.0000 0.0000 0.5000 Fe
0.5000 0.0000 0.0000 Fe
0.5000 0.5000 0.5000 Pd
0.0000 0.5000 0.0000 Cl
```

Values from the calculation:
- Energy above the lowest structure with this stoichiometry: 385 meV per atom

=====

(3)
This record from Alexandria via LeMat-Bulk describes AlFe2PdCl after structural relaxation. The functional is GGA-PBE.

The structure in POSCAR format:
```
AlFe2PdCl
1.0
-4.0084 -1.3768 -2.3321
0.1997 -4.3047 2.1981
-2.6477 1.6912 3.5525
Al Fe Pd Cl
1 2 1 1
direct
0.0000 0.0000 0.5000 Al
0.0000 0.5000 0.0000 Fe
0.5000 0.0000 0.0000 Fe
0.0000 0.0000 0.0000 Pd
0.5000 0.5000 0.5000 Cl
```

Values from the calculation:
- Energy above the lowest structure with this stoichiometry: 0 meV per atom

=====

(4)
This record from Alexandria via LeMat-Bulk describes Rb2AlFeCl6 after structural relaxation. The functional is GGA-PBE.

The structure in POSCAR format:
```
Rb2AlFeCl6
1.0
7.0458 0.0000 0.0000
0.0000 7.0458 0.0000
3.5229 3.5229 5.0114
Al Fe Rb Cl
1 1 2 6
direct
0.5000 0.5000 0.0000 Al
0.0000 0.0000 0.0000 Fe
0.7500 0.2500 0.5000 Rb
0.2500 0.7500 0.5000 Rb
0.2581 0.2581 0.4839 Cl
0.7419 0.7419 0.5161 Cl
0.2556 0.2556 0.0000 Cl
0.7444 0.7444 0.0000 Cl
0.7444 0.2556 0.0000 Cl
0.2556 0.7444 0.0000 Cl
```

=====

(5)
This record from Alexandria via LeMat-Bulk describes AlFeRhCl2 after structural relaxation. The functional is GGA-PBE.

The structure in POSCAR format:
```
AlFeRhCl2
1.0
-4.1636 1.3360 -0.6462
-0.1959 -2.9495 -4.8356
-1.4762 -3.5301 2.2130
Al Rh Fe Cl
1 1 1 2
direct
0.0000 0.0000 0.0000 Al
0.5000 0.5000 0.5000 Rh
0.0000 0.5000 0.0000 Fe
0.0000 0.0000 0.5000 Cl
0.5000 0.0000 0.0000 Cl
```

=====

(6)
This record from Alexandria via LeMat-Bulk describes AlFeSCl after structural relaxation. The functional is GGA-PBE.

The structure in POSCAR format:
```
AlFeSCl
1.0
-3.3327 1.5409 0.6543
-0.8215 -1.5587 4.0907
1.4668 3.0997 2.6650
S Al Fe Cl
1 1 1 1
direct
0.2708 0.7519 0.1821 S
0.5513 0.1993 0.3054 Al
0.0906 0.9106 0.6265 Fe
0.8182 0.3574 0.7889 Cl
```

Values from the calculation:
- Energy above the lowest structure with this stoichiometry: 292 meV per atom

=====

(7)
This record from Alexandria via LeMat-Bulk describes AlFeSCl after structural relaxation. The functional is GGA-PBE.

The structure in POSCAR format:
```
AlFeSCl
1.0
3.9870 0.0000 0.0045
0.0000 3.1500 0.0000
-3.6099 0.0000 13.2290
S Al Fe Cl
2 2 2 2
direct
0.8443 0.0000 0.1374 S
0.8443 0.5000 0.6374 S
0.4094 0.0000 0.2518 Al
0.4094 0.5000 0.7518 Al
0.8768 0.0000 0.7483 Fe
0.8768 0.5000 0.2483 Fe
0.1385 0.0000 0.3874 Cl
0.1385 0.5000 0.8874 Cl
```

Values from the calculation:
- Energy above the lowest structure with this stoichiometry: 207 meV per atom

=====

(8)
This record from Alexandria via LeMat-Bulk describes AlFeSCl after structural relaxation. The functional is GGA-PBE.

The structure in POSCAR format:
```
AlFeSCl
1.0
-0.6759 3.4205 0.1751
-3.6997 -0.7396 0.1647
0.5624 -0.4356 10.6792
S Al Fe Cl
2 2 2 2
direct
0.0000 0.0000 0.6539 S
0.5000 0.5000 0.1539 S
0.0000 0.0000 0.1536 Al
0.5000 0.5000 0.6536 Al
0.0000 0.5000 0.2838 Fe
0.5000 0.0000 0.7838 Fe
0.0000 0.0000 0.9337 Cl
0.5000 0.5000 0.4337 Cl
```

Values from the calculation:
- Energy above the lowest structure with this stoichiometry: 243 meV per atom

=====

| no. | uncorrected formation energy (eV/f.u.) |
| --- | --- |
| 1 | 3.3 |
| 2 | 5.2 |
| 3 | 3.3 |
| 4 | -13.2 |
| 5 | 3.7 |
| 6 | -1.1 |
| 7 | -1.5 |
| 8 | -1.3 |